## BeTcF3 (GGA-PBE)

Data for crystalline BeTcF3 at its relaxed geometry.

Properties
* excess energy over the best structure of this formula in the dataset: 0 meV per atom
* uncorrected formation energy: -1.277 eV/atom
* mass density: 5.14 g cm⁻³
* energy: -26.090 eV/cell

a = 3.755 Å, b = 3.755 Å, c = 3.755 Å
α = 90.00°, β = 90.00°, γ = 90.00°
Space group Pm-3m (No. 221)
Symmetry-distinct sites (fractional):
Be1 0.000 0.000 0.000 x1
Tc1 0.500 0.500 0.500 x1
F1 0.000 0.000 0.500 x3



## BeTcF3 (GGA-PBE)

Data for crystalline BeTcF3 at its relaxed geometry.

Properties
* excess energy over the best structure of this formula in the dataset: 664 meV per atom
* uncorrected formation energy: -0.613 eV/atom
* mass density: 3.57 g cm⁻³
* energy: -22.771 eV/cell

a = 4.240 Å, b = 4.240 Å, c = 4.240 Å
α = 90.00°, β = 90.00°, γ = 90.00°
Space group Pm-3m (No. 221)
Symmetry-distinct sites (fractional):
Be1 0.000 0.000 0.000 x1
Tc1 0.500 0.500 0.500 x1
F1 0.000 0.500 0.500 x3



## BeTc2F (GGA-PBE)

Data for crystalline BeTc2F at its relaxed geometry.

Properties
* excess energy over the best structure of this formula in the dataset: 113 meV per atom
* uncorrected formation energy: 0.436 eV/atom
* mass density: 7.28 g cm⁻³
* energy: -98.348 eV/cell

a = 6.549 Å, b = 6.549 Å, c = 4.767 Å
α = 90.00°, β = 90.00°, γ = 90.00°
Space group I-42d (No. 122)
Symmetry-distinct sites (fractional):
Be1 0.000 0.000 0.000 x4
Tc1 0.213 0.250 0.625 x8
F1 0.000 0.000 0.500 x4



## BeTc3F (GGA-PBE)

Data for crystalline BeTc3F at its relaxed geometry.

Properties
* excess energy over the best structure of this formula in the dataset: 0 meV per atom
* uncorrected formation energy: 1.015 eV/atom
* mass density: 7.68 g cm⁻³
* energy: -31.621 eV/cell

a = 4.113 Å, b = 4.113 Å, c = 4.113 Å
α = 90.00°, β = 90.00°, γ = 90.00°
Space group Pm-3m (No. 221)
Symmetry-distinct sites (fractional):
Be1 0.000 0.000 0.000 x1
Tc1 0.000 0.500 0.500 x3
F1 0.500 0.500 0.500 x1



## Be2TlTcF (GGA-PBE)

Data for crystalline Be2TlTcF at its relaxed geometry.

Properties
* uncorrected formation energy: 1.116 eV/atom
* mass density: 5.83 g cm⁻³
* energy: -16.477 eV/cell

a = 4.534 Å, b = 4.534 Å, c = 4.701 Å
α = 90.00°, β = 90.00°, γ = 90.00°
Space group P4/mmm (No. 123)
Symmetry-distinct sites (fractional):
Be1 0.000 0.500 0.000 x2
Tl1 0.000 0.000 0.000 x1
Tc1 0.500 0.500 0.500 x1
F1 0.000 0.000 0.500 x1